(1)
An optimized crystal structure of SrCuAg. Source: Alexandria via LeMat-Bulk, functional PBE-GGA.

POSCAR file:
```
SrCuAg
1.0
4.225 0.000 -1.123
-0.299 4.214 -1.123
0.021 0.022 8.584
Sr Cu Ag
2 2 2
direct
0.250 0.750 0.500
0.500 0.500 0.000
0.925 0.925 0.850
0.075 0.075 0.150
0.837 0.337 0.674
0.663 0.163 0.326
```

Properties
Excess energy over the best structure of this formula in the dataset   6 meV/atom
Crystal system   tetragonal
Symmetry   I-4m2
Energy of formation from the pure elements   -162 meV per atom
N(E_F)   1.10 states/eV/f.u.



(2)
An optimized crystal structure of SrCu2Ag. Source: Alexandria via LeMat-Bulk, functional PBE-GGA.

POSCAR file:
```
SrCu2Ag
1.0
5.870 -0.086 -0.054
4.284 4.015 -0.054
4.284 1.658 3.657
Sr Cu Ag
1 2 1
direct
0.504 0.504 0.504
0.988 0.988 0.988
0.308 0.308 0.308
0.701 0.701 0.701
```

Properties
Excess energy over the best structure of this formula in the dataset   0 meV/atom
Crystal system   trigonal
Symmetry   R3m
Energy of formation from the pure elements   -76 meV per atom
N(E_F)   1.48 states/eV/f.u.



(3)
An optimized crystal structure of SrCuAg3. Source: Alexandria via LeMat-Bulk, functional PBE-GGA.

POSCAR file:
```
SrCuAg3
1.0
-3.753 2.935 1.390
-0.013 -2.138 4.479
3.247 3.383 1.624
Ag Sr Cu
3 1 1
direct
0.500 0.000 0.000
0.000 0.500 0.000
0.000 0.000 0.500
0.500 0.500 0.500
0.000 0.000 0.000
```

Properties
Excess energy over the best structure of this formula in the dataset   0 meV/atom
Crystal system   cubic
Symmetry   Pm-3m
Energy of formation from the pure elements   42 meV per atom
N(E_F)   1.92 states/eV/f.u.